1.
10
Lattice="6.488 0.000 0.000 0.000 6.488 0.000 0.000 0.000 3.291" Properties=species:S:1:pos:R:3 comment="ZrBe2Mo2 | Alexandria via LeMat-Bulk | PBE | relaxed" space_group="No. 127" total_energy_ev_per_cell=-76.5 relative_energy_ev_per_atom=0.000 m_tot_mub_per_fu=0.00 pbc="T T T"
Zr 0.000 0.000 0.000
Zr 3.244 3.244 0.000
Be 0.728 2.516 0.000
Be 2.516 5.761 0.000
Be 3.972 0.728 0.000
Be 5.761 3.972 0.000
Mo 1.131 4.376 1.645
Mo 2.113 1.131 1.645
Mo 4.376 5.357 1.645
Mo 5.357 2.113 1.645

=====

2.
5
Lattice="5.188 0.000 0.000 0.000 5.188 0.000 0.000 0.000 4.105" Properties=species:S:1:pos:R:3 comment="LiPr2HgH | Alexandria via LeMat-Bulk | PBE | relaxed" space_group="No. 123" total_energy_ev_per_cell=-16.9 m_tot_mub_per_fu=0.00 pbc="T T T"
Li 0.000 0.000 0.000
Pr 0.000 2.594 2.052
Pr 2.594 0.000 2.052
Hg 2.594 2.594 0.000
H 0.000 0.000 2.052

=====

3.
11
Lattice="9.102 0.000 0.000 0.000 3.673 0.000 -0.244 0.000 10.102" Properties=species:S:1:pos:R:3 comment="Pm5Pr4Co2 | Alexandria via LeMat-Bulk | PBE | relaxed" space_group="No. 10" total_energy_ev_per_cell=-56.2 m_tot_mub_per_fu=0.00 pbc="T T T"
Pm 0.000 0.000 0.000
Pm 0.228 0.000 3.353
Pm 2.829 0.000 8.512
Pm 6.029 0.000 1.590
Pm 8.630 0.000 6.749
Pr 2.698 1.837 5.350
Pr 3.001 1.837 1.713
Pr 5.857 1.837 8.389
Pr 6.160 1.837 4.752
Co 4.135 0.000 3.579
Co 4.722 0.000 6.523

=====

4.
10
Lattice="7.348 0.000 0.000 0.000 4.289 0.000 -2.400 0.000 8.804" Properties=species:S:1:pos:R:3 comment="Pm2AlTlGe | Alexandria via LeMat-Bulk | PBE | relaxed" space_group="No. 11" total_energy_ev_per_cell=-44.7 m_tot_mub_per_fu=0.00 pbc="T T T"
Pm 0.495 1.072 3.594
Pm -0.488 1.072 8.647
Pm 5.435 3.217 0.157
Pm 4.453 3.217 5.210
Al 2.863 3.217 2.341
Al 2.085 1.072 6.463
Tl 0.359 3.217 6.140
Tl 4.589 1.072 2.664
Ge 0.605 3.217 1.516
Ge 4.342 1.072 7.288

=====

- Number 4 is which compound?
  Pm2AlTlGe

=====

- What is the formula in the first record?
  ZrBe2Mo2

=====

Copy entry 2 word for word.
5
Lattice="5.188 0.000 0.000 0.000 5.188 0.000 0.000 0.000 4.105" Properties=species:S:1:pos:R:3 comment="LiPr2HgH | Alexandria via LeMat-Bulk | PBE | relaxed" space_group="No. 123" total_energy_ev_per_cell=-16.9 m_tot_mub_per_fu=0.00 pbc="T T T"
Li 0.000 0.000 0.000
Pr 0.000 2.594 2.052
Pr 2.594 0.000 2.052
Hg 2.594 2.594 0.000
H 0.000 0.000 2.052